VASP calculation (PBE-GGA) on crystalline CaYGa at its relaxed geometry.

Unit cell a=6.072 b=6.072 c=7.023 alpha=124.89 beta=124.89 gamma=65.44
Fractional coordinates of all 6 atoms:
Ca (0.000, 0.000, 0.000)
Ca (0.164, 0.164, 0.652)
Y (0.518, 0.518, 0.365)
Y (0.624, 0.624, 0.963)
Ga (0.057, 0.598, 0.469)
Ga (0.598, 0.057, 0.469)

Theoretical density in Mg/m³: 3.8
E above lowest polymorph in kcal/mol of atoms: 2.11
DFT formation energy in eV/f.u.: -1.0
Electronic total energy in eV per cell: -25.0
Density of states at the Fermi level in states/eV per cell: 6.271
Symmetry: Cm



VASP calculation (PBE-GGA) on crystalline Ca2YGa2 at its relaxed geometry.

Unit cell a=7.368 b=7.368 c=7.368 alpha=144.24 beta=144.24 gamma=51.47
Fractional coordinates of all 5 atoms:
Ca (0.250, 0.750, 0.500)
Ca (0.750, 0.250, 0.500)
Y (0.000, 0.000, 0.000)
Ga (0.408, 0.408, 0.000)
Ga (0.592, 0.592, 0.000)

Theoretical density in Mg/m³: 3.8
E above lowest polymorph in kcal/mol of atoms: 2.24
DFT formation energy in eV/f.u.: -1.3
Electronic total energy in eV per cell: -17.8
Density of states at the Fermi level in states/eV per cell: 5.168
Symmetry: I4/mmm



VASP calculation (PBE-GGA) on crystalline CaYGa at its relaxed geometry.

Unit cell a=5.954 b=5.954 c=7.134 alpha=123.87 beta=123.87 gamma=67.12
Fractional coordinates of all 6 atoms:
Ca (0.185, 0.185, 0.014)
Ca (0.815, 0.815, 0.986)
Y (0.328, 0.328, 0.636)
Y (0.672, 0.672, 0.364)
Ga (0.221, 0.779, 0.500)
Ga (0.779, 0.221, 0.500)

Theoretical density in Mg/m³: 3.8
E above lowest polymorph in kcal/mol of atoms: 1.93
DFT formation energy in eV/f.u.: -1.0
Electronic total energy in eV per cell: -25.0
Density of states at the Fermi level in states/eV per cell: 5.989
Symmetry: C2/m